[1]
DFT (PBE) results for a relaxed PtRh2S4 crystal.

a = 7.022 Å, b = 7.017 Å, c = 12.161 Å
α = 106.57°, β = 90.00°, γ = 120.02°
Positions (direct):
Rh  0.500  0.000  0.000
Rh  0.500  0.500  0.500
Rh  0.250  0.000  0.250
Rh  0.000  0.000  0.000
Rh  0.750  0.000  0.750
Rh  0.500  0.000  0.500
Rh  0.000  0.500  0.000
Rh  0.000  0.000  0.500
Pt  0.562  0.625  0.188
Pt  0.938  0.375  0.312
Pt  0.062  0.625  0.688
Pt  0.438  0.375  0.812
S  0.631  0.761  0.390
S  0.141  0.240  0.380
S  0.141  0.781  0.381
S  0.131  0.761  0.890
S  0.401  0.760  0.620
S  0.359  0.760  0.120
S  0.359  0.219  0.119
S  0.641  0.781  0.881
S  0.641  0.240  0.880
S  0.869  0.239  0.110
S  0.901  0.760  0.120
S  0.599  0.240  0.380
S  0.369  0.239  0.610
S  0.859  0.219  0.619
S  0.859  0.760  0.620
S  0.099  0.240  0.880

Computed properties:
Formation energy without anion corrections ... -397 meV per atom
Calculated total energy ... -0.4203 Ry per atom
SG ... No. 12

***

[2]
DFT (PBE) results for a relaxed Pm2Pr4HoTm crystal.

a = 5.195 Å, b = 5.164 Å, c = 11.440 Å
α = 63.15°, β = 90.00°, γ = 90.00°
Positions (direct):
Pr  0.500  0.250  0.750
Pr  0.000  0.751  0.749
Pr  0.500  0.750  0.250
Pr  0.000  0.249  0.251
Pm  0.500  0.000  0.500
Pm  0.000  0.000  0.000
Tm  0.000  0.500  0.500
Ho  0.500  0.500  0.000

Computed properties:
Calculated total energy ... -0.3450 Ry per atom
SG ... No. 47

***

[3]
DFT (PBE) results for a relaxed Y2MnRe2 crystal.

a = 6.411 Å, b = 6.411 Å, c = 4.813 Å
α = 90.00°, β = 90.00°, γ = 90.00°
Positions (direct):
Mn  0.000  0.000  0.000
Mn  0.500  0.500  0.000
Re  0.137  0.363  0.000
Re  0.863  0.637  0.000
Re  0.637  0.137  0.000
Re  0.363  0.863  0.000
Y  0.323  0.177  0.500
Y  0.677  0.823  0.500
Y  0.177  0.677  0.500
Y  0.823  0.323  0.500

Computed properties:
Calculated total energy ... -0.6744 Ry per atom
SG ... No. 127